Crystalline CaAs2P at its relaxed geometry. Source: Alexandria, functional GGA-PBEsol.

* D(E_F): 0.8645 states/eV per atom
* uncorrected energy: -4.7195 eV/atom
* space group: P4/mmm, No. 123
* ΔE_f: -185 meV/atom
* M_tot: 0.0 μB/f.u.

Cell lengths 3.7582, 3.7582, 5.5889 Å; angles 90.00, 90.00, 90.00 degrees
Last column: nearest neighbours and their distance in Å.
Fractional positions:
Ca 0.0000 0.0000 0.0000  2 P 2.79, 8 As 3.10
As 0.5000 0.5000 0.2845  1 As 2.41
As 0.5000 0.5000 0.7155  1 As 2.41
P 0.0000 0.0000 0.5000  2 Ca 2.79, 8 As 2.92

Crystalline Ca2AsP at its relaxed geometry. Source: Alexandria, functional GGA-PBEsol.

* D(E_F): 0.7384 states/eV per atom
* uncorrected energy: -4.6047 eV/atom
* distance to the lowest polymorph of the same formula: 0.00 eV per formula unit
* space group: Fm-3m, No. 225
* ΔE_f: -814 meV/atom
* M_tot: 0.0 μB/f.u.

Cell lengths 4.9997, 4.9997, 4.9997 Å; angles 60.00, 60.00, 60.00 degrees
Last column: nearest neighbours and their distance in Å.
Fractional positions:
Ca 0.2500 0.2500 0.2500  4 As 3.06, 4 P 3.06
Ca 0.7500 0.7500 0.7500  4 As 3.06, 4 P 3.06
As 0.0000 0.0000 0.0000  8 Ca 3.06
P 0.5000 0.5000 0.5000  8 Ca 3.06

Crystalline Ca2AsP at its relaxed geometry. Source: Alexandria, functional GGA-PBEsol.

* D(E_F): 0.7830 states/eV per atom
* uncorrected energy: -3.9114 eV/atom
* distance to the lowest polymorph of the same formula: 2.77 eV per formula unit
* space group: R3m, No. 160
* ΔE_f: -120 meV/atom
* M_tot: 0.0 μB/f.u.

Cell lengths 9.3955, 9.3955, 9.3955 Å; angles 22.27, 22.27, 22.27 degrees
Last column: nearest neighbours and their distance in Å.
Fractional positions:
Ca 0.0000 0.0000 0.0000  3 As 3.16
Ca 0.2150 0.2150 0.2150  3 P 2.97
As 0.7526 0.7526 0.7526  3 P 2.54
P 0.4716 0.4716 0.4716  3 As 2.54

Look up the D(E_F) of the second one. 0.7384 states/eV per atom

What did the third record say?
Crystalline Ca2AsP at its relaxed geometry. Source: Alexandria, functional GGA-PBEsol.

* D(E_F): 0.7830 states/eV per atom
* uncorrected energy: -3.9114 eV/atom
* distance to the lowest polymorph of the same formula: 2.77 eV per formula unit
* space group: R3m, No. 160
* ΔE_f: -120 meV/atom
* M_tot: 0.0 μB/f.u.

Cell lengths 9.3955, 9.3955, 9.3955 Å; angles 22.27, 22.27, 22.27 degrees
Last column: nearest neighbours and their distance in Å.
Fractional positions:
Ca 0.0000 0.0000 0.0000  3 As 3.16
Ca 0.2150 0.2150 0.2150  3 P 2.97
As 0.7526 0.7526 0.7526  3 P 2.54
P 0.4716 0.4716 0.4716  3 As 2.54

What did the first record say?
Crystalline CaAs2P at its relaxed geometry. Source: Alexandria, functional GGA-PBEsol.

* D(E_F): 0.8645 states/eV per atom
* uncorrected energy: -4.7195 eV/atom
* space group: P4/mmm, No. 123
* ΔE_f: -185 meV/atom
* M_tot: 0.0 μB/f.u.

Cell lengths 3.7582, 3.7582, 5.5889 Å; angles 90.00, 90.00, 90.00 degrees
Last column: nearest neighbours and their distance in Å.
Fractional positions:
Ca 0.0000 0.0000 0.0000  2 P 2.79, 8 As 3.10
As 0.5000 0.5000 0.2845  1 As 2.41
As 0.5000 0.5000 0.7155  1 As 2.41
P 0.0000 0.0000 0.5000  2 Ca 2.79, 8 As 2.92